Compound: PuCu2TeO6
Source: Alexandria
Functional: GGA-PBE
Structure: optimized geometry

POSCAR file:
```
PuCu2TeO6
1.0
-5.127 0.157 1.740
1.138 -2.019 -4.896
3.578 -3.961 2.464
O Cu Te Pu
6 2 1 1
Cartesian
1.165 -4.513 -1.693
2.161 -3.341 0.703
0.646 -1.768 -1.128
-1.170 -3.892 0.350
-2.685 -2.320 -1.482
-1.688 -1.147 0.915
-0.865 -2.393 -2.207
0.342 -3.261 1.426
-2.825 -2.751 0.481
-0.468 -5.741 -0.735
```

Values from the calculation:
The value obtained for the energy relative to the elements, uncorrected is -1368 meV/atom.

***

Compound: ZnIn4Sn
Source: Alexandria
Functional: GGA-PBE
Structure: optimized geometry

POSCAR file:
```
ZnIn4Sn
1.0
-5.939 -5.249 4.096
2.099 -3.545 -1.499
8.892 0.295 13.270
Zn In Sn
4 16 4
Cartesian
5.829 -3.594 15.004
-0.777 -4.905 0.863
5.758 -2.912 6.058
-0.705 -5.587 9.810
0.994 -3.906 8.402
-1.867 -6.415 3.196
-0.606 -3.169 3.296
2.303 -6.511 10.021
1.207 -3.331 -0.269
3.845 -5.168 16.136
2.547 -4.519 12.942
6.666 -4.084 9.756
2.505 -3.979 2.925
5.904 -1.197 8.507
5.658 -5.330 12.572
4.058 -4.593 7.466
6.920 -2.084 12.671
2.749 -1.988 5.846
-0.852 -7.302 7.360
-1.614 -4.415 6.111
1.981 -1.158 1.822
3.722 -3.400 10.323
3.071 -7.341 14.045
1.330 -5.098 5.545
```

Values from the calculation:
The value obtained for the formation energy is 0.06 eV/atom.

***

Compound: Nd6RhPb2
Source: Alexandria
Functional: GGA-PBE
Structure: optimized geometry

POSCAR file:
```
Nd6RhPb2
1.0
-1.465 6.083 1.577
-1.592 -2.489 8.120
10.039 1.646 2.472
Nd Rh Pb
12 2 4
Cartesian
3.156 4.487 8.279
2.672 0.948 8.399
8.324 4.949 4.837
4.310 4.293 3.771
7.382 1.841 2.268
6.059 2.287 6.742
3.826 0.754 3.890
-0.215 0.056 2.962
7.197 5.185 9.208
-0.400 3.400 9.902
-1.342 0.291 7.333
0.923 2.954 5.427
-1.528 1.797 4.849
5.019 0.823 1.236
5.532 5.839 6.421
5.304 2.590 9.978
1.678 2.650 2.191
1.450 -0.598 5.748
```

Values from the calculation:
The value obtained for the formation energy is -0.39 eV/atom.

***

Compound: CsCu2SiRh
Source: Alexandria
Functional: GGA-PBE
Structure: optimized geometry

POSCAR file:
```
CsCu2SiRh
1.0
4.758 0.000 0.000
0.000 4.716 0.000
0.000 0.000 4.758
Cu Cs Rh Si
2 1 1 1
Cartesian
2.379 0.000 0.000
0.000 0.000 2.379
2.379 2.358 2.379
0.000 2.358 0.000
0.000 0.000 0.000
```

Values from the calculation:
The value obtained for the energy relative to the elements, uncorrected is 433 meV/atom.

***

Compound: NaGaPb2
Source: Alexandria
Functional: GGA-PBE
Structure: optimized geometry

POSCAR file:
```
NaGaPb2
1.0
3.509 0.000 0.000
1.754 3.039 0.000
1.754 1.013 11.201
Pb Ga Na
2 1 1
Cartesian
1.754 1.013 7.978
5.263 3.039 3.223
3.509 2.026 5.600
0.000 0.000 0.000
```

Values from the calculation:
The value obtained for the formation energy is 0.04 eV/atom.

***

Compound: LiPdW2
Source: Alexandria
Functional: GGA-PBE
Structure: optimized geometry

POSCAR file:
```
LiPdW2
1.0
7.147 0.000 0.000
0.000 7.147 0.000
3.573 3.573 2.522
Li W Pd
2 4 2
Cartesian
3.573 7.147 1.261
3.573 3.573 0.000
8.933 8.974 1.891
5.400 1.787 0.630
1.746 5.360 0.630
5.360 5.320 1.891
0.000 0.000 0.000
7.147 3.573 1.261
```

Values from the calculation:
The value obtained for the formation energy is 0.93 eV/atom. The value obtained for the energy above the most stable polymorph in this dataset is 149 meV/atom.

***

Calculated electronic total energy (eV per formula unit), listed in the same order as above: -69.1 -15.9 -46.9 -19.7 -11.6 -29.3